First-principles (PBE) data for a geometry-optimized LiErMnPt structure, as listed in Alexandria.

Output
DFT total energy = -5.870 eV per atom
DOS at the Fermi energy = 1.92 states/eV/cell
Crystal system = cubic
Total magnetic moment = 3.998 μB per cell
Space group = F-43m
ΔE_f = -448 meV per atom

Geometry as extended XYZ:
```
4
Lattice="4.663 0.000 0.000 2.332 4.039 0.000 2.332 1.346 3.808" Properties=species:S:1:pos:R:3 pbc="T T T"
Mn 0.000 0.000 0.000
Li 2.332 1.346 0.952
Pt 6.995 4.039 2.856
Er 4.663 2.692 1.904
```

---

First-principles (PBE) data for a geometry-optimized LiErMnRh structure, as listed in Alexandria.

Output
DFT total energy = -6.006 eV per atom
DOS at the Fermi energy = 2.30 states/eV/cell
Crystal system = cubic
Total magnetic moment = 3.954 μB per cell
Space group = F-43m
ΔE_f = -256 meV per atom

Geometry as extended XYZ:
```
4
Lattice="-3.465 2.648 1.491 -3.791 0.498 -2.573 -3.964 -1.932 1.340" Properties=species:S:1:pos:R:3 pbc="T T T"
Mn -2.805 0.304 0.065
Rh -5.610 0.607 0.129
Li 0.000 0.000 0.000
Er -8.415 0.911 0.194
```

---

First-principles (PBE) data for a geometry-optimized LiErMnRu structure, as listed in Alexandria.

Output
DFT total energy = -6.228 eV per atom
DOS at the Fermi energy = 2.39 states/eV/cell
Crystal system = cubic
Total magnetic moment = 4.240 μB per cell
Space group = F-43m
ΔE_f = 2 meV per atom

Geometry as extended XYZ:
```
4
Lattice="-3.135 2.828 -1.803 -0.534 0.232 -4.554 -3.782 -1.714 -1.958" Properties=species:S:1:pos:R:3 pbc="T T T"
Ru 0.000 0.000 0.000
Mn -5.588 1.009 -6.235
Li -3.725 0.673 -4.157
Er -1.863 0.336 -2.078
```

---

First-principles (PBE) data for a geometry-optimized Li3Er2MnS6 structure, as listed in Alexandria.

Output
DFT total energy = -5.556 eV per atom
DOS at the Fermi energy = 3.00 states/eV/cell
Crystal system = monoclinic
Total magnetic moment = 4.000 μB per cell
Energy relative to the elements, uncorrected = -1.4888 eV/atom
Space group = C2/m

Geometry as extended XYZ:
```
12
Lattice="6.536 -0.018 0.013 -3.282 5.652 0.013 -1.073 -1.858 6.105" Properties=species:S:1:pos:R:3 pbc="T T T"
Li -2.227 3.804 3.066
Li 4.408 -0.028 3.066
Li 1.090 1.888 3.066
Er -0.032 3.775 0.013
Er 3.285 1.859 0.013
Mn 0.000 0.000 0.000
S 3.208 1.981 4.602
S 2.269 3.929 1.440
S -1.027 1.795 1.530
S 0.113 3.768 4.602
S -0.088 -0.153 4.692
S 2.068 0.007 1.530
```

---

First-principles (PBE) data for a geometry-optimized Li3Er3MnS8 structure, as listed in Alexandria.

Output
DFT total energy = -5.660 eV per atom
Crystal system = trigonal
Total magnetic moment = 2.994 μB per cell
Energy relative to the elements, uncorrected = -1.5517 eV/atom
Space group = R-3m

Geometry as extended XYZ:
```
15
Lattice="-2.515 -5.699 -4.340 5.570 -1.218 5.012 -7.036 1.291 2.382" Properties=species:S:1:pos:R:3 pbc="T T T"
Li 0.000 0.000 0.000
Li 2.785 -0.609 2.506
Li 1.528 -3.458 0.336
Er -4.775 -2.204 -0.979
Er -1.990 -2.813 1.527
Er -0.733 0.036 3.697
Mn -3.518 0.645 1.191
S 0.401 -1.710 2.013
S -4.381 -3.916 1.041
S -0.786 -4.728 0.023
S -3.195 -0.898 3.031
S 1.708 -5.273 2.267
S -5.689 -0.353 0.787
S 3.097 -2.126 4.664
S -7.078 -3.500 -1.610
```

---

First-principles (PBE) data for a geometry-optimized Li4Er3MnS8 structure, as listed in Alexandria.

Output
DFT total energy = -5.545 eV per atom
DOS at the Fermi energy = 2.43 states/eV/cell
Crystal system = trigonal
Total magnetic moment = 4.000 μB per cell
Energy relative to the elements, uncorrected = -1.5745 eV/atom
Space group = R-3m

Geometry as extended XYZ:
```
16
Lattice="7.588 0.000 0.000 0.000 7.542 -0.040 -3.794 -3.790 5.369" Properties=species:S:1:pos:R:3 pbc="T T T"
Li 3.794 0.000 0.000
Li 1.897 -1.895 2.684
Li 0.000 0.000 0.000
Li -1.897 -1.895 2.684
Er 3.794 3.771 -0.020
Er 1.897 1.876 2.664
Er -1.897 1.876 2.664
Mn 0.000 3.771 -0.020
S 1.791 5.585 -0.005
S 0.000 3.796 2.532
S 0.000 -0.018 2.668
S 5.797 5.585 -0.005
S -2.003 -1.833 5.334
S 3.794 3.771 2.661
S 3.794 -0.044 2.796
S 2.003 -1.833 5.334
```

---

Question: The highest DFT total energy belongs to which entry?
Answer: Li4Er3MnS8

---

Question: Which of these has the lowest DFT total energy?
Answer: LiErMnRu